[1]
# Nd2SmGd, optimized geometry, DFT PBE
# Density ... 7.22 g cm⁻³
# Space group ... P4/mmm
# ΔE to the lowest computed polymorph ... 4.8 meV/atom
data_Nd2SmGd
_chemical_formula_sum 'Nd2 Sm1 Gd1'
_cell_length_a 3.653
_cell_length_b 3.653
_cell_length_c 10.273
_cell_angle_alpha 90.00
_cell_angle_beta 90.00
_cell_angle_gamma 90.00
_space_group_name_H-M_alt 'P 1'
_space_group_IT_number 1
loop_
_space_group_symop_operation_xyz
'x,y,z'
loop_
_atom_site_label
_atom_site_fract_x
_atom_site_fract_y
_atom_site_fract_z
_atom_site_occupancy
Nd1 0.000 0.000 0.249 1
Nd2 0.000 0.000 0.751 1
Sm1 0.500 0.500 0.500 1
Gd1 0.500 0.500 0.000 1

[2]
# NdSm4Gd, optimized geometry, DFT PBE
# Density ... 7.07 g cm⁻³
# Space group ... F-43m
# Final energy ... -6.0423 eV per atom
data_NdSm4Gd
_chemical_formula_sum 'Nd1 Sm4 Gd1'
_cell_length_a 6.695
_cell_length_b 6.695
_cell_length_c 6.695
_cell_angle_alpha 60.00
_cell_angle_beta 60.00
_cell_angle_gamma 60.00
_space_group_name_H-M_alt 'P 1'
_space_group_IT_number 1
loop_
_space_group_symop_operation_xyz
'x,y,z'
loop_
_atom_site_label
_atom_site_fract_x
_atom_site_fract_y
_atom_site_fract_z
_atom_site_occupancy
Nd1 0.000 0.000 0.000 1
Sm1 0.124 0.625 0.625 1
Sm2 0.625 0.124 0.625 1
Sm3 0.625 0.625 0.124 1
Sm4 0.625 0.625 0.625 1
Gd1 0.250 0.250 0.250 1

[3]
# NdSm2Gd, optimized geometry, DFT PBE
# Density ... 7.33 g cm⁻³
# Space group ... Fm-3m
# ΔE to the lowest computed polymorph ... 108.2 meV/atom
data_NdSm2Gd
_chemical_formula_sum 'Nd4 Sm8 Gd4'
_cell_length_a 8.171
_cell_length_b 8.171
_cell_length_c 8.171
_cell_angle_alpha 90.00
_cell_angle_beta 90.00
_cell_angle_gamma 90.00
_space_group_name_H-M_alt 'P 1'
_space_group_IT_number 1
loop_
_space_group_symop_operation_xyz
'x,y,z'
loop_
_atom_site_label
_atom_site_fract_x
_atom_site_fract_y
_atom_site_fract_z
_atom_site_occupancy
Nd1 0.000 0.000 0.000 1
Nd2 0.000 0.500 0.500 1
Nd3 0.500 0.000 0.500 1
Nd4 0.500 0.500 0.000 1
Sm1 0.250 0.250 0.250 1
Sm2 0.250 0.250 0.750 1
Sm3 0.250 0.750 0.250 1
Sm4 0.250 0.750 0.750 1
Sm5 0.750 0.250 0.250 1
Sm6 0.750 0.250 0.750 1
Sm7 0.750 0.750 0.250 1
Sm8 0.750 0.750 0.750 1
Gd1 0.000 0.000 0.500 1
Gd2 0.000 0.500 0.000 1
Gd3 0.500 0.000 0.000 1
Gd4 0.500 0.500 0.500 1

[4]
# Nd2SmGd, optimized geometry, DFT PBE
# Density ... 7.19 g cm⁻³
# Space group ... Fm-3m
# ΔE to the lowest computed polymorph ... 105.9 meV/atom
data_Nd2SmGd
_chemical_formula_sum 'Nd8 Sm4 Gd4'
_cell_length_a 8.197
_cell_length_b 8.197
_cell_length_c 8.197
_cell_angle_alpha 90.00
_cell_angle_beta 90.00
_cell_angle_gamma 90.00
_space_group_name_H-M_alt 'P 1'
_space_group_IT_number 1
loop_
_space_group_symop_operation_xyz
'x,y,z'
loop_
_atom_site_label
_atom_site_fract_x
_atom_site_fract_y
_atom_site_fract_z
_atom_site_occupancy
Nd1 0.250 0.250 0.250 1
Nd2 0.250 0.250 0.750 1
Nd3 0.250 0.750 0.250 1
Nd4 0.250 0.750 0.750 1
Nd5 0.750 0.250 0.250 1
Nd6 0.750 0.250 0.750 1
Nd7 0.750 0.750 0.250 1
Nd8 0.750 0.750 0.750 1
Sm1 0.000 0.000 0.000 1
Sm2 0.000 0.500 0.500 1
Sm3 0.500 0.000 0.500 1
Sm4 0.500 0.500 0.000 1
Gd1 0.000 0.000 0.500 1
Gd2 0.000 0.500 0.000 1
Gd3 0.500 0.000 0.000 1
Gd4 0.500 0.500 0.500 1

[5]
# NdSm2Gd, optimized geometry, DFT PBE
# Density ... 7.37 g cm⁻³
# Space group ... P4/mmm
# ΔE to the lowest computed polymorph ... 6.5 meV/atom
data_NdSm2Gd
_chemical_formula_sum 'Nd1 Sm2 Gd1'
_cell_length_a 3.638
_cell_length_b 3.638
_cell_length_c 10.246
_cell_angle_alpha 90.00
_cell_angle_beta 90.00
_cell_angle_gamma 90.00
_space_group_name_H-M_alt 'P 1'
_space_group_IT_number 1
loop_
_space_group_symop_operation_xyz
'x,y,z'
loop_
_atom_site_label
_atom_site_fract_x
_atom_site_fract_y
_atom_site_fract_z
_atom_site_occupancy
Nd1 0.000 0.000 0.000 1
Sm1 0.500 0.500 0.252 1
Sm2 0.500 0.500 0.748 1
Gd1 0.000 0.000 0.500 1

[6]
# NdSmGd2, optimized geometry, DFT PBE
# Density ... 7.57 g cm⁻³
# Space group ... P4/mmm
# ΔE to the lowest computed polymorph ... 0.0 meV/atom
data_NdSmGd2
_chemical_formula_sum 'Nd1 Sm1 Gd2'
_cell_length_a 5.116
_cell_length_b 5.116
_cell_length_c 5.109
_cell_angle_alpha 90.00
_cell_angle_beta 90.00
_cell_angle_gamma 90.00
_space_group_name_H-M_alt 'P 1'
_space_group_IT_number 1
loop_
_space_group_symop_operation_xyz
'x,y,z'
loop_
_atom_site_label
_atom_site_fract_x
_atom_site_fract_y
_atom_site_fract_z
_atom_site_occupancy
Nd1 0.000 0.000 0.000 1
Sm1 0.500 0.500 0.000 1
Gd1 0.000 0.500 0.500 1
Gd2 0.500 0.000 0.500 1

[7]
# NdSm2Gd, optimized geometry, DFT PBE
# Density ... 7.39 g cm⁻³
# Space group ... P4/mmm
# ΔE to the lowest computed polymorph ... 0.0 meV/atom
data_NdSm2Gd
_chemical_formula_sum 'Nd1 Sm2 Gd1'
_cell_length_a 5.133
_cell_length_b 5.133
_cell_length_c 5.133
_cell_angle_alpha 90.00
_cell_angle_beta 90.00
_cell_angle_gamma 90.00
_space_group_name_H-M_alt 'P 1'
_space_group_IT_number 1
loop_
_space_group_symop_operation_xyz
'x,y,z'
loop_
_atom_site_label
_atom_site_fract_x
_atom_site_fract_y
_atom_site_fract_z
_atom_site_occupancy
Nd1 0.000 0.000 0.000 1
Sm1 0.000 0.500 0.500 1
Sm2 0.500 0.000 0.500 1
Gd1 0.500 0.500 0.000 1

[8]
# NdSmGd2, optimized geometry, DFT PBE
# Density ... 7.53 g cm⁻³
# Space group ... Fm-3m
# ΔE to the lowest computed polymorph ... 73.7 meV/atom
data_NdSmGd2
_chemical_formula_sum 'Nd4 Sm4 Gd8'
_cell_length_a 8.128
_cell_length_b 8.128
_cell_length_c 8.128
_cell_angle_alpha 90.00
_cell_angle_beta 90.00
_cell_angle_gamma 90.00
_space_group_name_H-M_alt 'P 1'
_space_group_IT_number 1
loop_
_space_group_symop_operation_xyz
'x,y,z'
loop_
_atom_site_label
_atom_site_fract_x
_atom_site_fract_y
_atom_site_fract_z
_atom_site_occupancy
Nd1 0.000 0.000 0.000 1
Nd2 0.000 0.500 0.500 1
Nd3 0.500 0.000 0.500 1
Nd4 0.500 0.500 0.000 1
Sm1 0.000 0.000 0.500 1
Sm2 0.000 0.500 0.000 1
Sm3 0.500 0.000 0.000 1
Sm4 0.500 0.500 0.500 1
Gd1 0.250 0.250 0.250 1
Gd2 0.250 0.250 0.750 1
Gd3 0.250 0.750 0.250 1
Gd4 0.250 0.750 0.750 1
Gd5 0.750 0.250 0.250 1
Gd6 0.750 0.250 0.750 1
Gd7 0.750 0.750 0.250 1
Gd8 0.750 0.750 0.750 1